--- i ---
A plane-wave DFT calculation with PBE-GGA was carried out for a relaxed CsK2I crystal.

```
8
Lattice="-0.798 -7.653 -9.510 6.722 -8.231 6.059 -0.273 -9.476 -0.220" Properties=species:S:1:pos:R:3 pbc="T T T"
K 0.358 -7.368 -4.232
K 2.730 -13.937 -0.816
K 4.265 -20.131 -3.828
K 3.948 -9.282 1.534
I 2.962 -7.942 -1.725
I 4.705 -12.824 2.057
Cs 0.945 -12.535 -5.728
Cs 0.000 0.000 0.000
```

Output
The value obtained for the volume is 581.3 Å³ per cell. The density is 1931 kg/m3. For the density of states at the Fermi level, the calculation gives 1.5 states/eV/f.u. As for the space-group type: I-42d (122).


--- ii ---
A plane-wave DFT calculation with PBE-GGA was carried out for a relaxed CsK2I crystal.

```
4
Lattice="-1.923 -2.959 -3.630 -3.262 -3.681 1.199 -11.593 6.040 -2.311" Properties=species:S:1:pos:R:3 pbc="T T T"
I -3.465 -4.420 -1.622
K -9.978 4.690 -2.066
K -3.349 -0.857 -1.057
Cs -8.374 -0.312 -2.369
```

Output
The value obtained for the volume is 287.4 Å³ per cell. The density is 1953 kg/m3. For the density of states at the Fermi level, the calculation gives 3.3 states/eV/f.u. As for the space-group type: R3m (160).


Result of the stability comparison: i is the least stable of them.


--- i ---
A plane-wave DFT calculation with PBE-GGA was carried out for a relaxed CsK2I3 crystal.

```
6
Lattice="5.185 0.000 0.000 0.000 7.468 0.000 -2.593 -3.734 7.874" Properties=species:S:1:pos:R:3 pbc="T T T"
K -1.296 -1.867 6.533
K 3.889 5.601 1.341
I 1.296 -1.867 3.937
I -1.296 1.867 6.778
I 3.889 1.867 1.096
Cs 1.296 1.867 3.937
```

Output
The value obtained for the volume is 304.9 Å³ per cell. The density is 3223 kg/m3. For the density of states at the Fermi level, the calculation gives 0.0 states/eV/f.u. As for the space-group type: Immm (71).


--- ii ---
A plane-wave DFT calculation with PBE-GGA was carried out for a relaxed CsK2I3 crystal.

```
12
Lattice="-3.337 -3.966 2.454 -0.011 -1.478 -9.103 9.679 -7.406 1.191" Properties=species:S:1:pos:R:3 pbc="T T T"
I 2.250 -6.183 -0.232
I 6.910 -6.275 -0.746
I -1.598 -3.238 -0.706
I 7.929 -9.612 -4.753
I 4.081 -6.667 -5.226
I -0.578 -6.575 -4.712
K 0.000 0.000 0.000
K 5.566 -7.589 2.003
K 0.765 -5.261 -7.461
K 4.839 -3.703 0.595
Cs 4.709 -9.355 -2.016
Cs 1.622 -3.495 -3.442
```

Output
The value obtained for the volume is 615.5 Å³ per cell. The density is 3193 kg/m3. For the density of states at the Fermi level, the calculation gives 0.0 states/eV/f.u. As for the space-group type: Cmcm (63).


Result of the stability comparison: ii is the least stable of them.


--- i ---
A plane-wave DFT calculation with PBE-GGA was carried out for a relaxed Cs2KI2 crystal.

```
10
Lattice="-8.458 3.425 -4.705 4.023 -2.557 -9.093 -2.186 -4.851 0.397" Properties=species:S:1:pos:R:3 pbc="T T T"
I -2.148 0.086 -10.763
I -5.756 2.011 -7.104
I -2.287 0.782 -3.035
I 1.321 -1.144 -6.694
Cs -5.668 -1.176 -9.711
Cs -0.634 -3.401 -9.178
Cs -0.953 -2.807 -3.690
Cs -5.987 -0.583 -4.223
K 0.000 0.000 0.000
K -2.218 0.434 -6.899
```

Output
The value obtained for the volume is 562.4 Å³ per cell. The density is 3299 kg/m3. For the density of states at the Fermi level, the calculation gives 1.7 states/eV/f.u. As for the space-group type: P4/mbm (127).


--- ii ---
A plane-wave DFT calculation with PBE-GGA was carried out for a relaxed Cs2KI2 crystal.

```
10
Lattice="-4.964 -9.765 -2.328 7.204 -5.274 6.760 -2.878 0.617 3.549" Properties=species:S:1:pos:R:3 pbc="T T T"
Cs 1.888 -3.270 2.100
Cs 4.406 -8.038 4.972
Cs -2.167 -7.001 -0.540
Cs 0.352 -11.769 2.332
I -2.068 -3.890 1.995
I -3.143 -9.803 2.151
I 1.430 -10.532 5.986
I 2.504 -4.619 5.829
K 0.000 0.000 0.000
K 1.120 -7.519 2.216
```

Output
The value obtained for the volume is 578.2 Å³ per cell. The density is 3209 kg/m3. For the density of states at the Fermi level, the calculation gives 1.6 states/eV/f.u. As for the space-group type: P4/mbm (127).


--- iii ---
A plane-wave DFT calculation with PBE-GGA was carried out for a relaxed Cs2KI2 crystal.

```
5
Lattice="-2.407 -6.323 2.175 6.647 -2.011 1.510 1.334 -1.421 8.957" Properties=species:S:1:pos:R:3 pbc="T T T"
I 0.524 -5.955 6.487
I 5.050 -3.799 6.155
K 0.000 0.000 0.000
Cs 3.721 -6.520 8.382
Cs 1.853 -3.234 4.259
```

Output
The value obtained for the volume is 387.2 Å³ per cell. The density is 2396 kg/m3. For the density of states at the Fermi level, the calculation gives 3.6 states/eV/f.u. As for the space-group type: I4/mmm (139).


Result of the stability comparison: iii is the least stable of them.


--- i ---
A plane-wave DFT calculation with PBE-GGA was carried out for a relaxed Cs2KI crystal.

```
8
Lattice="11.481 0.000 0.000 0.000 11.481 0.000 5.740 5.740 5.351" Properties=species:S:1:pos:R:3 pbc="T T T"
I 11.481 5.740 2.675
I 0.000 0.000 0.000
Cs 9.477 2.870 1.338
Cs 8.610 7.743 4.013
Cs 14.351 15.218 4.013
Cs 2.003 8.610 1.338
K 5.740 5.740 0.000
K 5.740 11.481 2.675
```

Output
The value obtained for the volume is 705.2 Å³ per cell. The density is 2034 kg/m3. For the density of states at the Fermi level, the calculation gives 2.3 states/eV/f.u. As for the space-group type: I-42d (122).


--- ii ---
A plane-wave DFT calculation with PBE-GGA was carried out for a relaxed Cs2KI crystal.

```
4
Lattice="-3.182 2.900 -3.069 -0.776 -5.212 0.435 -5.636 1.846 12.153" Properties=species:S:1:pos:R:3 pbc="T T T"
K -3.206 -1.683 6.293
Cs -6.546 1.667 8.373
Cs -3.048 -2.133 1.146
I -3.182 2.900 -3.069
```

Output
The value obtained for the volume is 318.9 Å³ per cell. The density is 2249 kg/m3. For the density of states at the Fermi level, the calculation gives 1.9 states/eV/f.u. As for the space-group type: R-3m (166).


Result of the stability comparison: i is the least stable of them.


--- i ---
A plane-wave DFT calculation with PBE-GGA was carried out for a relaxed Cs2KI crystal.

```
4
Lattice="-4.052 3.253 -1.121 -4.354 -5.655 -0.674 -1.605 0.404 6.975" Properties=species:S:1:pos:R:3 pbc="T T T"
Cs -2.177 -2.828 -0.337
Cs -0.803 0.202 3.488
I -2.026 1.626 -0.560
K -5.005 -0.999 2.590
```

Output
The value obtained for the volume is 273.2 Å³ per cell. The density is 2625 kg/m3. For the density of states at the Fermi level, the calculation gives 1.1 states/eV/f.u. As for the space-group type: P4/mmm (123).


--- ii ---
A plane-wave DFT calculation with PBE-GGA was carried out for a relaxed Cs2KI crystal.

```
4
Lattice="0.000 5.211 5.211 5.211 0.000 5.211 5.211 5.211 0.000" Properties=species:S:1:pos:R:3 pbc="T T T"
Cs 7.817 7.817 7.817
Cs 2.606 2.606 2.606
I 5.211 5.211 5.211
K 0.000 0.000 0.000
```

Output
The value obtained for the volume is 283.0 Å³ per cell. The density is 2533 kg/m3. For the density of states at the Fermi level, the calculation gives 0.0 states/eV/f.u. As for the space-group type: Fm-3m (225).


--- iii ---
A plane-wave DFT calculation with PBE-GGA was carried out for a relaxed Cs2KI crystal.

```
4
Lattice="-0.860 -4.577 1.147 4.668 -0.995 -0.471 1.768 2.654 11.914" Properties=species:S:1:pos:R:3 pbc="T T T"
Cs 1.444 2.167 9.730
Cs 0.324 0.486 2.184
K 2.788 -1.459 6.295
I 1.904 -2.786 0.338
```

Output
The value obtained for the volume is 283.7 Å³ per cell. The density is 2527 kg/m3. For the density of states at the Fermi level, the calculation gives 2.2 states/eV/f.u. As for the space-group type: P4/mmm (123).


Result of the stability comparison: ii is the least stable of them.


--- i ---
A plane-wave DFT calculation with PBE-GGA was carried out for a relaxed CsK3I crystal.

```
5
Lattice="-0.602 7.136 -0.538 -5.335 -0.807 -4.740 -4.770 0.002 5.369" Properties=species:S:1:pos:R:3 pbc="T T T"
K -2.385 0.001 2.684
K -0.301 3.568 -0.269
K -2.667 -0.403 -2.370
I 0.000 0.000 0.000
Cs -5.353 3.166 0.046
```

Output
The value obtained for the volume is 370.4 Å³ per cell. The density is 1690 kg/m3. For the density of states at the Fermi level, the calculation gives 4.3 states/eV/f.u. As for the space-group type: Pm-3m (221).


--- ii ---
A plane-wave DFT calculation with PBE-GGA was carried out for a relaxed CsK3I crystal.

```
5
Lattice="8.160 0.000 0.000 0.000 8.160 0.000 0.000 0.000 8.160" Properties=species:S:1:pos:R:3 pbc="T T T"
I 4.080 4.080 4.080
K 4.080 0.000 0.000
K 0.000 4.080 0.000
K 0.000 0.000 4.080
Cs 0.000 0.000 0.000
```

Output
The value obtained for the volume is 543.4 Å³ per cell. The density is 1152 kg/m3. For the density of states at the Fermi level, the calculation gives 10.4 states/eV/f.u. As for the space-group type: Pm-3m (221).


Result of the stability comparison: ii is the least stable of them.


--- i ---
A plane-wave DFT calculation with PBE-GGA was carried out for a relaxed Cs2KLiI crystal.

```
5
Lattice="7.945 0.000 0.000 0.000 7.945 0.000 0.000 0.000 5.656" Properties=species:S:1:pos:R:3 pbc="T T T"
I 0.000 0.000 0.000
Li 0.000 0.000 2.828
Cs 0.000 3.972 0.000
Cs 3.972 0.000 0.000
K 3.972 3.972 2.828
```

Output
The value obtained for the volume is 357.0 Å³ per cell. The density is 2041 kg/m3. For the density of states at the Fermi level, the calculation gives 2.9 states/eV/f.u. As for the space-group type: P4/mmm (123).


--- ii ---
A plane-wave DFT calculation with PBE-GGA was carried out for a relaxed Cs2KLiI crystal.

```
5
Lattice="8.516 0.000 0.000 0.000 5.257 0.000 0.000 0.000 8.516" Properties=species:S:1:pos:R:3 pbc="T T T"
I 0.000 2.629 0.000
K 4.258 2.629 4.258
Li 0.000 0.000 0.000
Cs 0.000 0.000 4.258
Cs 4.258 0.000 0.000
```

Output
The value obtained for the volume is 381.2 Å³ per cell. The density is 1911 kg/m3. For the density of states at the Fermi level, the calculation gives 4.5 states/eV/f.u. As for the space-group type: P4/mmm (123).


Result of the stability comparison: ii is the least stable of them.


--- i ---
A plane-wave DFT calculation with PBE-GGA was carried out for a relaxed CsKI2N crystal.

```
5
Lattice="6.723 0.000 0.000 0.000 6.723 0.000 0.000 0.000 5.542" Properties=species:S:1:pos:R:3 pbc="T T T"
Cs 3.362 3.362 2.771
I 0.000 3.362 0.000
I 3.362 0.000 0.000
N 0.000 0.000 2.771
K 0.000 0.000 0.000
```

Output
The value obtained for the volume is 250.5 Å³ per cell. The density is 2916 kg/m3. For the density of states at the Fermi level, the calculation gives 2.2 states/eV/f.u. As for the space-group type: P4/mmm (123).


--- ii ---
A plane-wave DFT calculation with PBE-GGA was carried out for a relaxed CsKI2N crystal.

```
5
Lattice="-4.512 5.409 1.445 0.467 -1.485 7.020 4.550 3.668 0.474" Properties=species:S:1:pos:R:3 pbc="T T T"
I -2.256 2.705 0.722
I 0.233 -0.743 3.510
N 2.275 1.834 0.237
Cs 0.000 0.000 0.000
K 0.252 3.796 4.469
```

Output
The value obtained for the volume is 303.2 Å³ per cell. The density is 2409 kg/m3. For the density of states at the Fermi level, the calculation gives 5.5 states/eV/f.u. As for the space-group type: P4/mmm (123).


Result of the stability comparison: ii is the least stable of them.


--- i ---
A plane-wave DFT calculation with PBE-GGA was carried out for a relaxed Cs2KNiI6 crystal.

```
10
Lattice="8.605 0.000 0.000 0.000 8.605 0.000 4.303 4.303 6.076" Properties=species:S:1:pos:R:3 pbc="T T T"
I 4.303 4.303 3.387
I 1.908 6.697 0.000
I 8.605 8.605 2.689
I 6.697 1.908 0.000
I 6.697 6.697 0.000
I 1.908 1.908 0.000
Ni 0.000 0.000 0.000
K 4.303 4.303 0.000
Cs 4.303 8.605 3.038
Cs 8.605 4.303 3.038
```

Output
The value obtained for the volume is 449.9 Å³ per cell. The density is 4152 kg/m3. For the density of states at the Fermi level, the calculation gives 2.5 states/eV/f.u. As for the space-group type: I4/mmm (139).


--- ii ---
A plane-wave DFT calculation with PBE-GGA was carried out for a relaxed Cs2KNiI6 crystal.

```
10
Lattice="8.582 0.000 0.000 0.000 8.171 0.000 0.000 -4.086 7.076" Properties=species:S:1:pos:R:3 pbc="T T T"
Ni 0.000 0.000 0.000
I 1.585 1.925 1.112
I 1.585 6.246 1.112
I 1.585 4.086 4.853
I 6.997 2.160 5.965
I 6.997 -2.160 5.965
I 6.997 0.000 2.223
Cs 7.163 4.086 2.359
Cs 1.419 0.000 4.718
K 4.291 0.000 0.000
```

Output
The value obtained for the volume is 496.3 Å³ per cell. The density is 3764 kg/m3. For the density of states at the Fermi level, the calculation gives 3.1 states/eV/f.u. As for the space-group type: P-3m1 (164).


Result of the stability comparison: i is the least stable of them.


--- i ---
A plane-wave DFT calculation with PBE-GGA was carried out for a relaxed CsKIO2 crystal.

```
5
Lattice="-3.322 3.342 -0.827 -3.243 -3.424 -0.807 -1.872 0.000 7.524" Properties=species:S:1:pos:R:3 pbc="T T T"
Cs 0.000 0.000 0.000
O -1.661 1.671 -0.413
O -1.622 -1.712 -0.404
K -4.219 -0.041 2.945
I -0.936 0.000 3.762
```

Output
The value obtained for the volume is 177.5 Å³ per cell. The density is 3096 kg/m3. For the density of states at the Fermi level, the calculation gives 7.5 states/eV/f.u. As for the space-group type: P4/mmm (123).


--- ii ---
A plane-wave DFT calculation with PBE-GGA was carried out for a relaxed CsKIO2 crystal.

```
5
Lattice="5.489 0.000 0.000 0.000 5.489 0.000 0.000 0.000 6.925" Properties=species:S:1:pos:R:3 pbc="T T T"
O 0.000 2.744 0.000
O 2.744 0.000 0.000
Cs 2.744 2.744 3.462
K 0.000 0.000 0.000
I 0.000 0.000 3.462
```

Output
The value obtained for the volume is 208.6 Å³ per cell. The density is 2634 kg/m3. For the density of states at the Fermi level, the calculation gives 3.3 states/eV/f.u. As for the space-group type: P4/mmm (123).


Result of the stability comparison: i is the least stable of them.


--- i ---
A plane-wave DFT calculation with PBE-GGA was carried out for a relaxed Cs2KPrI6 crystal.

```
20
Lattice="8.892 0.000 0.023 0.000 9.396 0.000 0.111 0.000 12.767" Properties=species:S:1:pos:R:3 pbc="T T T"
Cs 4.770 5.388 9.606
Cs 8.735 0.690 9.579
Cs 0.268 8.706 3.211
Cs 4.233 4.008 3.184
I 7.057 7.642 6.998
I 6.124 2.631 7.073
I 2.878 6.765 5.717
I 7.380 7.329 12.112
I 1.946 1.755 5.792
I 5.366 0.257 3.378
I 6.448 2.944 12.187
I 2.555 6.453 0.603
I 0.975 4.441 9.750
I 8.028 4.955 3.040
I 1.623 2.067 0.678
I 3.637 9.139 9.412
Pr 4.501 0.000 6.395
Pr 0.000 4.698 0.000
K 4.446 0.000 0.011
K 0.055 4.698 6.384
```

Output
The value obtained for the volume is 1066.7 Å³ per cell. The density is 3759 kg/m3. For the density of states at the Fermi level, the calculation gives 0.0 states/eV/f.u. As for the space-group type: P2_1/c (14).


--- ii ---
A plane-wave DFT calculation with PBE-GGA was carried out for a relaxed Cs2KPrI6 crystal.

```
10
Lattice="-5.189 1.702 -7.417 -7.927 -4.531 -1.213 -8.024 4.431 0.911" Properties=species:S:1:pos:R:3 pbc="T T T"
I -13.367 0.333 -2.011
I -11.944 3.573 -5.235
I -7.773 1.269 -5.709
I -11.893 -1.086 -6.339
I -9.196 -1.970 -2.484
I -9.246 2.688 -1.380
Cs -15.855 1.202 -5.790
Cs -5.285 0.401 -1.930
K -10.570 0.801 -3.860
Pr 0.000 0.000 0.000
```

Output
The value obtained for the volume is 552.6 Å³ per cell. The density is 3628 kg/m3. For the density of states at the Fermi level, the calculation gives 0.0 states/eV/f.u. As for the space-group type: Fm-3m (225).


Result of the stability comparison: ii is the least stable of them.